Computed, not measured: an optimized crystal structure of Pa3Fe at the PBE-GGA level of DFT.

The structure in POSCAR format:
```
Pa3Fe
1.0
-2.1048 2.1048 4.7542
2.1048 -2.1048 4.7542
2.1048 2.1048 -4.7542
Pa Fe
3 1
Direct
0.5000 0.5000 0.0000
0.2500 0.7500 0.5000
0.7500 0.2500 0.5000
0.0000 0.0000 0.0000
```

Properties
Crystal system = tetragonal
Electronic total energy = -35.715 eV per cell
Space-group type = I4/mmm
E above lowest polymorph = 0 meV per atom
Formation energy = 0.2702 eV per atom

Computed, not measured: an optimized crystal structure of PaFe at the PBE-GGA level of DFT.

The structure in POSCAR format:
```
PaFe
1.0
3.1205 0.0000 0.0000
-1.5602 2.7025 0.0000
0.0000 0.0000 4.2189
Fe Pa
1 1
Direct
0.6667 0.3333 0.7500
0.3333 0.6667 0.2500
```

Properties
Crystal system = hexagonal
Electronic total energy = -17.074 eV per cell
Space-group type = P-6m2
Formation energy = 0.3653 eV per atom

Computed, not measured: an optimized crystal structure of PaFe at the PBE-GGA level of DFT.

The structure in POSCAR format:
```
PaFe
1.0
0.0000 2.8236 2.8236
2.8236 0.0000 2.8236
2.8236 2.8236 0.0000
Fe Pa
1 1
Direct
0.0000 0.0000 0.0000
0.2500 0.2500 0.2500
```

Properties
Crystal system = cubic
Electronic total energy = -16.465 eV per cell
Space-group type = F-43m
Formation energy = 0.6695 eV per atom

Number 1: magnetic moment 0.016 μB/cell. Number 2: magnetic moment 1.113 μB/cell. Number 3: magnetic moment 0.137 μB/cell.